La3HPb: optimized geometry, GGA-PBE.

Lattice parameters (Å, degrees): 5.1095 5.1095 5.1095 90.00 90.00 90.00
Last column: nearest neighbours and their distance in Å.
Sites, in units of the cell vectors:
Pb  0.5000  0.5000  0.5000  12 La 3.61
H  0.0000  0.0000  0.0000  6 La 2.55
La  0.0000  0.5000  0.0000  2 H 2.55
La  0.0000  0.0000  0.5000  2 H 2.55
La  0.5000  0.0000  0.0000  2 H 2.55

Computed properties:
- energy above the lowest structure with this stoichiometry (meV per atom) = 0.0
- E (eV per atom) = -4.8218